4
Lattice="5.184 0.000 0.000 0.000 5.184 0.000 0.000 0.000 5.144" Properties=species:S:1:pos:R:3 comment="Pr2SmY (PBE, optimized geometry)" ef_ev_per_fu=0.1 m_tot_mub_per_fu=0.00 e_tot_ev_per_fu=-20.7 pbc="T T T"
Pr 0.000 2.592 0.000
Pr 2.592 0.000 0.000
Sm 0.000 0.000 2.572
Y 2.592 2.592 2.572

---

14
Lattice="-2.870 5.391 7.704 2.870 -5.391 7.704 2.870 5.391 -7.704" Properties=species:S:1:pos:R:3 comment="Pr3Sm3Y8 (PBE, optimized geometry)" ef_ev_per_fu=1.7 m_tot_mub_per_fu=0.00 e_tot_ev_per_fu=-78.5 pbc="T T T"
Pr 0.000 0.000 0.000
Pr 0.000 3.314 0.000
Pr 0.000 7.469 0.000
Sm 2.870 0.000 4.818
Sm 0.000 0.000 7.704
Sm 0.000 5.391 2.887
Y 2.870 1.736 -1.582
Y 2.870 3.658 -4.309
Y 2.870 1.736 1.582
Y 0.000 1.734 3.395
Y 2.870 3.658 4.309
Y 0.000 3.656 6.122
Y 0.000 1.734 12.014
Y 0.000 3.656 9.287

---

14
Lattice="-4.814 4.814 5.206 4.814 -4.814 5.206 4.814 4.814 -5.206" Properties=species:S:1:pos:R:3 comment="PrSm8Y5 (PBE, optimized geometry)" ef_ev_per_fu=3.4 m_tot_mub_per_fu=0.00 e_tot_ev_per_fu=-71.4 pbc="T T T"
Pr 0.000 0.000 0.000
Sm 6.512 0.868 -0.021
Sm 4.145 3.142 -1.532
Sm 0.868 3.116 0.021
Sm 0.668 1.671 3.675
Sm 1.671 -0.668 6.738
Sm 3.946 1.698 5.227
Sm 3.142 5.482 1.532
Sm -1.698 3.946 5.185
Y 2.836 -1.088 3.359
Y 3.726 1.978 1.848
Y 1.978 5.902 -1.848
Y 0.000 4.814 2.603
Y 1.088 2.836 7.054

---

19
Lattice="6.176 3.566 5.163 -6.176 3.566 5.163 0.000 -7.132 5.163" Properties=species:S:1:pos:R:3 comment="Pr12Sm6Y (PBE, optimized geometry)" ef_ev_per_fu=2.4 m_tot_mub_per_fu=0.00 e_tot_ev_per_fu=-89.8 pbc="T T T"
Pr -1.079 -1.830 2.952
Pr -1.045 1.850 2.952
Pr -1.514 -1.604 6.452
Pr 2.125 -0.020 2.952
Pr -2.146 0.509 9.036
Pr -0.632 2.113 6.452
Pr 0.632 -2.113 9.036
Pr 2.146 -0.509 6.452
Pr -2.125 0.020 12.537
Pr 1.514 1.604 9.036
Pr 1.045 -1.850 12.537
Pr 1.079 1.830 12.537
Sm -3.731 0.985 5.471
Sm 1.012 -3.724 5.471
Sm -2.719 -2.739 10.018
Sm 2.719 2.739 5.471
Sm -1.012 3.724 10.018
Sm 3.731 -0.985 10.018
Y 0.000 0.000 0.000

---

19
Lattice="6.203 0.000 0.000 -1.000 8.875 0.000 -2.570 -0.528 11.500" Properties=species:S:1:pos:R:3 comment="Pr2Sm5Y12 (PBE, optimized geometry)" ef_ev_per_fu=0.8 m_tot_mub_per_fu=0.00 e_tot_ev_per_fu=-109.9 pbc="T T T"
Pr -0.731 3.938 4.594
Pr 3.364 4.409 6.906
Sm 0.000 0.000 0.000
Sm -0.443 7.983 9.702
Sm 0.488 4.765 8.591
Sm 2.145 3.582 2.909
Sm 3.075 0.364 1.798
Y -2.593 5.143 10.342
Y -0.100 0.662 3.564
Y -0.031 6.440 2.364
Y -0.341 1.590 7.241
Y -0.254 7.175 6.101
Y -0.446 2.307 10.859
Y 3.078 6.040 0.641
Y 2.886 1.172 5.399
Y 2.974 6.757 4.260
Y 2.664 1.907 9.136
Y 2.733 7.685 7.936
Y 5.226 3.204 1.159

---

12
Lattice="2.960 -18.996 0.000 2.960 18.996 0.000 0.000 0.000 3.635" Properties=species:S:1:pos:R:3 comment="Pr2Sm3Y7 (PBE, optimized geometry)" ef_ev_per_fu=1.9 m_tot_mub_per_fu=0.01 e_tot_ev_per_fu=-67.0 pbc="T T T"
Pr 2.960 12.346 0.000
Pr 2.960 -12.346 0.000
Sm 2.960 5.655 1.818
Sm 2.960 0.000 1.818
Sm 2.960 -5.655 1.818
Y 0.000 0.000 0.000
Y 2.960 15.672 1.818
Y 2.960 8.681 0.000
Y 2.960 2.749 0.000
Y 2.960 -2.749 0.000
Y 2.960 -8.681 0.000
Y 2.960 -15.672 1.818

---

11
Lattice="11.989 -1.822 0.000 11.989 1.822 0.000 -2.206 0.000 8.656" Properties=species:S:1:pos:R:3 comment="Pr5Sm2Y4 (PBE, optimized geometry)" ef_ev_per_fu=0.2 m_tot_mub_per_fu=0.00 e_tot_ev_per_fu=-59.0 pbc="T T T"
Pr 0.000 0.000 0.000
Pr 6.145 0.000 1.614
Pr 6.727 0.000 7.859
Pr 15.046 0.000 0.798
Pr 15.627 0.000 7.042
Sm 0.563 0.000 6.259
Sm 21.210 0.000 2.398
Y 3.347 0.000 3.934
Y 9.499 0.000 5.488
Y 12.273 0.000 3.169
Y 18.426 0.000 4.722

---

8
Lattice="5.215 0.000 0.000 0.000 5.215 0.000 0.000 0.000 10.420" Properties=species:S:1:pos:R:3 comment="Pr6SmY (PBE, optimized geometry)" ef_ev_per_fu=0.1 m_tot_mub_per_fu=0.00 e_tot_ev_per_fu=-39.8 pbc="T T T"
Pr 0.000 0.000 0.000
Pr 0.000 0.000 5.210
Pr 0.000 2.608 2.598
Pr 0.000 2.608 7.822
Pr 2.608 0.000 2.598
Pr 2.608 0.000 7.822
Sm 2.608 2.608 5.210
Y 2.608 2.608 0.000

---

11
Lattice="-3.352 3.352 8.581 3.352 -3.352 8.581 3.352 3.352 -8.581" Properties=species:S:1:pos:R:3 comment="PrSm6Y4 (PBE, optimized geometry)" ef_ev_per_fu=3.6 m_tot_mub_per_fu=0.00 e_tot_ev_per_fu=-55.4 pbc="T T T"
Pr 0.000 0.000 0.000
Sm 3.352 0.000 0.000
Sm 2.091 -2.091 5.577
Sm 1.261 1.261 3.004
Sm 0.000 3.352 0.000
Sm -2.091 2.091 5.577
Sm 2.091 2.091 11.584
Y 2.154 2.154 -2.193
Y 1.198 -1.198 10.774
Y 1.198 1.198 6.387
Y -1.198 1.198 10.774

---

18
Lattice="9.347 -3.211 0.000 9.347 3.211 0.000 -4.444 0.000 10.539" Properties=species:S:1:pos:R:3 comment="PrSm5Y3 (PBE, optimized geometry)" ef_ev_per_fu=2.5 m_tot_mub_per_fu=0.00 e_tot_ev_per_fu=-45.2 pbc="T T T"
Pr 6.013 2.351 7.904
Pr 8.236 -2.351 2.635
Sm 5.587 2.045 1.392
Sm 2.658 1.354 8.338
Sm 10.884 2.045 3.877
Sm 8.236 0.653 2.635
Sm 9.369 1.354 7.471
Sm 4.880 -1.354 3.068
Sm 6.013 -0.653 7.904
Sm 3.365 -2.045 6.661
Sm 11.591 -1.354 2.201
Sm 8.662 -2.045 9.147
Y 0.000 0.000 0.000
Y -2.222 0.000 5.269
Y 4.176 1.271 5.113
Y 12.295 1.271 0.157
Y 1.954 -1.271 10.382
Y 10.073 -1.271 5.426

---

11
Lattice="6.140 0.000 0.000 -3.070 5.318 0.000 0.000 0.000 11.870" Properties=species:S:1:pos:R:3 comment="PrSm5Y5 (PBE, optimized geometry)" ef_ev_per_fu=3.5 m_tot_mub_per_fu=0.00 e_tot_ev_per_fu=-57.2 pbc="T T T"
Pr 0.000 0.000 0.000
Sm 0.000 0.000 3.799
Sm 0.000 0.000 8.071
Sm 0.000 3.545 1.836
Sm 0.000 3.545 10.034
Sm 3.070 1.773 0.000
Y -1.535 2.659 5.935
Y 0.000 5.317 5.935
Y 1.535 2.659 5.935
Y 3.070 1.773 3.119
Y 3.070 1.773 8.750

---

9
Lattice="4.789 -9.031 0.000 4.789 9.031 0.000 0.000 0.000 3.698" Properties=species:S:1:pos:R:3 comment="Pr6Sm2Y (PBE, optimized geometry)" ef_ev_per_fu=1.1 m_tot_mub_per_fu=0.00 e_tot_ev_per_fu=-43.4 pbc="T T T"
Pr 1.679 2.972 0.000
Pr 1.754 0.000 1.849
Pr 1.679 -2.972 0.000
Pr 7.899 2.972 0.000
Pr 7.824 0.000 1.849
Pr 7.899 -2.972 0.000
Sm 4.789 3.184 1.849
Sm 4.789 -3.184 1.849
Y 4.789 0.000 0.000

---

12
Lattice="11.828 0.000 0.000 0.000 11.889 0.000 0.000 0.000 3.528" Properties=species:S:1:pos:R:3 comment="Pr4SmY (PBE, optimized geometry)" ef_ev_per_fu=3.6 m_tot_mub_per_fu=0.00 e_tot_ev_per_fu=-26.7 pbc="T T T"
Pr 0.000 2.835 0.000
Pr 0.000 9.054 0.000
Pr 2.831 5.945 1.764
Pr 3.083 0.000 1.764
Pr 5.914 3.110 0.000
Pr 5.914 8.780 0.000
Pr 8.745 0.000 1.764
Pr 8.997 5.945 1.764
Sm 0.000 5.945 0.000
Sm 5.914 0.000 0.000
Y 0.000 0.000 1.764
Y 5.914 5.945 1.764

---

16
Lattice="5.141 0.000 0.000 0.000 5.142 0.000 0.000 0.000 20.455" Properties=species:S:1:pos:R:3 comment="Pr2Sm3Y3 (PBE, optimized geometry)" ef_ev_per_fu=0.1 m_tot_mub_per_fu=0.00 e_tot_ev_per_fu=-43.0 pbc="T T T"
Pr 0.000 0.000 5.115
Pr 0.000 0.000 15.340
Pr 2.571 2.571 5.112
Pr 2.571 2.571 15.343
Sm 0.000 0.000 0.000
Sm 0.000 2.571 2.518
Sm 0.000 2.571 17.937
Sm 2.571 0.000 7.709
Sm 2.571 0.000 12.746
Sm 2.571 2.571 10.228
Y 0.000 0.000 10.228
Y 0.000 2.571 7.700
Y 0.000 2.571 12.755
Y 2.571 0.000 2.527
Y 2.571 0.000 17.928
Y 2.571 2.571 0.000

---

22
Lattice="9.786 -3.649 0.000 9.786 3.649 0.000 -5.602 0.000 11.463" Properties=species:S:1:pos:R:3 comment="Pr7Sm3Y (PBE, optimized geometry)" ef_ev_per_fu=2.0 m_tot_mub_per_fu=0.00 e_tot_ev_per_fu=-52.1 pbc="T T T"
Pr 3.857 1.834 5.393
Pr 1.073 1.849 11.138
Pr 5.584 2.066 8.597
Pr 5.424 0.030 2.593
Pr 2.622 -0.030 8.324
Pr 10.096 1.849 6.056
Pr 12.914 1.834 0.339
Pr 1.056 -1.834 11.124
Pr 3.874 -1.849 5.407
Pr 11.348 0.030 3.139
Pr 8.546 -0.030 8.870
Pr 8.386 -2.066 2.866
Pr 12.897 -1.849 0.325
Pr 10.113 -1.834 6.070
Sm 1.772 0.005 3.146
Sm -1.029 -0.005 8.877
Sm 9.786 0.000 0.000
Sm 6.985 0.000 5.731
Sm 14.999 0.005 2.586
Sm 12.198 -0.005 8.317
Y 0.000 0.000 0.000
Y -2.801 0.000 5.731

---

14
Lattice="0.000 12.314 3.284 6.101 0.000 3.284 6.101 12.314 0.000" Properties=species:S:1:pos:R:3 comment="Pr4Sm2Y (PBE, optimized geometry)" ef_ev_per_fu=0.4 m_tot_mub_per_fu=0.00 e_tot_ev_per_fu=-34.6 pbc="T T T"
Pr 6.717 1.728 3.284
Pr 3.667 4.429 1.642
Pr 2.434 7.885 1.642
Pr 5.315 8.774 3.463
Pr 9.937 14.931 5.105
Pr 6.887 15.854 3.463
Pr 5.484 22.900 3.284
Pr 8.365 22.011 5.105
Sm 3.333 0.872 1.977
Sm 6.383 5.285 3.619
Sm 2.768 11.442 1.977
Sm 5.818 19.343 3.619
Y 6.101 12.314 3.261
Y 9.151 18.471 4.903

---

12
Lattice="6.641 0.000 0.000 0.996 6.857 0.000 2.045 0.508 8.954" Properties=species:S:1:pos:R:3 comment="Pr4SmY7 (PBE, optimized geometry)" ef_ev_per_fu=1.0 m_tot_mub_per_fu=0.00 e_tot_ev_per_fu=-68.1 pbc="T T T"
Pr 1.837 2.315 2.544
Pr 4.516 6.415 6.211
Pr 5.166 0.949 2.743
Pr 7.846 5.050 6.410
Sm 3.818 3.428 0.000
Y 2.265 2.205 8.525
Y 2.706 5.732 3.228
Y 3.761 3.006 5.548
Y 3.320 0.000 0.000
Y 5.921 4.358 3.406
Y 6.976 1.633 5.726
Y 7.417 5.159 0.429

---

12
Lattice="5.880 0.000 0.000 0.000 3.618 0.000 -1.105 0.000 18.966" Properties=species:S:1:pos:R:3 comment="Pr2Sm3Y7 (PBE, optimized geometry)" ef_ev_per_fu=1.0 m_tot_mub_per_fu=0.00 e_tot_ev_per_fu=-67.9 pbc="T T T"
Pr 0.899 0.000 5.557
Pr 3.875 0.000 13.409
Sm 0.000 0.000 0.000
Sm 0.937 1.809 11.974
Sm 3.838 1.809 6.992
Y 0.930 1.809 2.688
Y 0.914 0.000 8.762
Y 0.922 0.000 15.668
Y 2.940 1.809 0.000
Y 3.853 0.000 3.298
Y 3.861 0.000 10.204
Y 3.844 1.809 16.278

---

12
Lattice="5.905 0.000 0.000 0.000 3.619 0.000 -1.050 0.000 18.999" Properties=species:S:1:pos:R:3 comment="Pr3Sm2Y7 (PBE, optimized geometry)" ef_ev_per_fu=1.0 m_tot_mub_per_fu=0.00 e_tot_ev_per_fu=-68.1 pbc="T T T"
Pr 0.000 0.000 0.000
Pr 0.975 1.809 12.032
Pr 3.879 1.809 6.966
Sm 0.932 0.000 5.552
Sm 3.923 0.000 13.446
Y 0.964 1.809 2.721
Y 0.948 0.000 8.772
Y 0.953 0.000 15.686
Y 2.952 1.809 0.000
Y 3.902 0.000 3.313
Y 3.907 0.000 10.227
Y 3.891 1.809 16.278

---

16
Lattice="8.190 0.000 0.000 0.000 8.190 0.000 0.000 0.000 8.190" Properties=species:S:1:pos:R:3 comment="PrSm2Y (PBE, optimized geometry)" ef_ev_per_fu=0.6 m_tot_mub_per_fu=0.39 e_tot_ev_per_fu=-20.1 pbc="T T T"
Pr 0.000 0.000 0.000
Pr 0.000 4.095 4.095
Pr 4.095 0.000 4.095
Pr 4.095 4.095 0.000
Sm 2.048 2.048 2.048
Sm 2.048 2.048 6.143
Sm 2.048 6.143 2.048
Sm 2.048 6.143 6.143
Sm 6.143 2.048 2.048
Sm 6.143 2.048 6.143
Sm 6.143 6.143 2.048
Sm 6.143 6.143 6.143
Y 0.000 0.000 4.095
Y 0.000 4.095 0.000
Y 4.095 0.000 0.000
Y 4.095 4.095 4.095